Ca2CdIn2 | PBE-GGA | relaxed

a = 4.8675 Å, b = 4.8675 Å, c = 7.6789 Å
α = 71.52°, β = 71.52°, γ = 90.00°
Last column: nearest neighbours and their distance in Å.
Positions (direct):
Cd: 0.0000 0.0000 0.0000  8 In 3.70
Ca: 0.2500 0.7500 0.5000  4 In 3.21, 4 Ca 3.44
Ca: 0.7500 0.2500 0.5000  4 In 3.21, 4 Ca 3.44
In: 0.4021 0.4021 0.1959  1 In 2.69
In: 0.5979 0.5979 0.8041  1 In 2.69

Results
- Distance to the lowest polymorph of the same formula: 418 meV/atom
- Formation enthalpy at 0 K: 0.026 eV/atom
- Magnetic moment: 0.00 μB per cell
- Space group: I4/mmm, No. 139